The following is a DFT calculation (PBE-GGA) of a relaxed structure of La2NdI.

a = 11.245 Å, b = 11.245 Å, c = 11.245 Å
α = 19.98°, β = 19.98°, γ = 19.98°
Atoms (fractional coordinates):
La 0.000 0.000 0.000
La 0.178 0.178 0.178
Nd 0.756 0.756 0.756
I 0.589 0.589 0.589

Values from the calculation:
Spin magnetization (μB per cell): 0.74
Electronic total energy (Ry per atom): -0.3287
Space group: No. 160
Formation energy from raw total energies (eV/f.u.): -1.72

The following is a DFT calculation (PBE-GGA) of a relaxed structure of CaScZnRu2.

a = 4.653 Å, b = 4.653 Å, c = 4.863 Å
α = 90.00°, β = 90.00°, γ = 90.00°
Atoms (fractional coordinates):
Ca 0.000 0.000 0.000
Sc 0.000 0.000 0.500
Zn 0.500 0.500 0.500
Ru 0.000 0.500 0.000
Ru 0.500 0.000 0.000

Values from the calculation:
Spin magnetization (μB per cell): 0.00
Formation energy from the elements (eV/f.u.): 8.48
Electronic total energy (Ry per atom): -0.2893
Space group: No. 123

The following is a DFT calculation (PBE-GGA) of a relaxed structure of Ce2PmErBi5.

a = 5.570 Å, b = 5.570 Å, c = 11.854 Å
α = 90.00°, β = 90.00°, γ = 90.00°
Atoms (fractional coordinates):
Ce 0.000 0.000 0.216
Ce 0.000 0.000 0.784
Pm 0.500 0.500 0.000
Er 0.500 0.500 0.500
Bi 0.000 0.000 0.500
Bi 0.000 0.500 0.000
Bi 0.500 0.000 0.000
Bi 0.500 0.500 0.256
Bi 0.500 0.500 0.744

Values from the calculation:
Spin magnetization (μB per cell): 2.11
Formation energy from the elements (eV/f.u.): -0.10
Electronic total energy (Ry per atom): -0.3323
Space group: No. 123

The following is a DFT calculation (PBE-GGA) of a relaxed structure of CaCuAu.

a = 5.475 Å, b = 5.475 Å, c = 5.475 Å
α = 142.31°, β = 142.31°, γ = 54.36°
Atoms (fractional coordinates):
Ca 0.000 0.000 0.000
Cu 0.694 0.694 0.000
Au 0.310 0.310 0.000

Values from the calculation:
Spin magnetization (μB per cell): 0.00
Formation energy from the elements (eV/f.u.): -1.07
Electronic total energy (Ry per atom): -0.2559
Space group: No. 107

The following is a DFT calculation (PBE-GGA) of a relaxed structure of SbRhI2O.

a = 6.011 Å, b = 6.011 Å, c = 4.033 Å
α = 90.00°, β = 90.00°, γ = 90.00°
Atoms (fractional coordinates):
Sb 0.000 0.000 0.000
Rh 0.500 0.500 0.500
I 0.000 0.500 0.000
I 0.500 0.000 0.000
O 0.000 0.000 0.500

Values from the calculation:
Spin magnetization (μB per cell): 1.79
Electronic total energy (Ry per atom): -0.2610
Space group: No. 123
Formation energy from raw total energies (eV/f.u.): 1.78

The following is a DFT calculation (PBE-GGA) of a relaxed structure of SrPaPb6.

a = 4.890 Å, b = 4.890 Å, c = 9.964 Å
α = 90.00°, β = 90.00°, γ = 90.00°
Atoms (fractional coordinates):
Sr 0.000 0.000 0.000
Pa 0.000 0.000 0.500
Pb 0.000 0.500 0.258
Pb 0.000 0.500 0.742
Pb 0.500 0.000 0.258
Pb 0.500 0.000 0.742
Pb 0.500 0.500 0.000
Pb 0.500 0.500 0.500

Values from the calculation:
Spin magnetization (μB per cell): 0.80
Formation energy from the elements (eV/f.u.): -1.31
Electronic total energy (Ry per atom): -0.3191
Space group: No. 123

The following is a DFT calculation (PBE-GGA) of a relaxed structure of LiTlTc4.

a = 5.215 Å, b = 5.215 Å, c = 5.215 Å
α = 60.00°, β = 60.00°, γ = 60.00°
Atoms (fractional coordinates):
Li 0.000 0.000 0.000
Tl 0.250 0.250 0.250
Tc 0.124 0.625 0.625
Tc 0.625 0.124 0.625
Tc 0.625 0.625 0.124
Tc 0.625 0.625 0.625

Values from the calculation:
Spin magnetization (μB per cell): 0.00
Formation energy from the elements (eV/f.u.): 2.97
Electronic total energy (Ry per atom): -0.5240
Space group: No. 216

The following is a DFT calculation (PBE-GGA) of a relaxed structure of Te3Pb.

a = 4.942 Å, b = 4.942 Å, c = 4.942 Å
α = 90.00°, β = 90.00°, γ = 90.00°
Atoms (fractional coordinates):
Te 0.000 0.000 0.500
Te 0.000 0.500 0.000
Te 0.500 0.000 0.000
Pb 0.500 0.500 0.500

Values from the calculation:
Spin magnetization (μB per cell): 0.00
Electronic total energy (Ry per atom): -0.2273
Space group: No. 221
Formation energy from raw total energies (eV/f.u.): 0.76